VASP calculation (PBE-GGA) on K8BrO2 after structural relaxation.

The structure in CIF format:
```
data_K8BrO2
_chemical_formula_sum 'K8 Br1 O2'
_cell_length_a 7.633
_cell_length_b 8.731
_cell_length_c 8.731
_cell_angle_alpha 56.92
_cell_angle_beta 74.57
_cell_angle_gamma 74.57
_symmetry_space_group_name_H-M 'P 1'
_symmetry_Int_Tables_number 1
loop_
_symmetry_equiv_pos_as_xyz
'x,y,z'
loop_
_atom_site_label
_atom_site_type_symbol
_atom_site_fract_x
_atom_site_fract_y
_atom_site_fract_z
K1 K 0.303 0.605 0.091
K2 K 0.697 0.909 0.395
K3 K 0.270 0.146 0.146
K4 K 0.730 0.854 0.854
K5 K 0.303 0.091 0.605
K6 K 0.697 0.395 0.909
K7 K 0.692 0.355 0.355
K8 K 0.308 0.645 0.645
Br1 Br 0.000 0.000 0.000
O1 O 0.487 0.249 0.249
O2 O 0.513 0.751 0.751
```

Calculated values
N(E_F) ... 3.062 states/eV/cell
Final energy ... -2.690 eV per atom
SG ... C2/m

VASP calculation (PBE-GGA) on K12Br3O5 after structural relaxation.

The structure in CIF format:
```
data_K12Br3O5
_chemical_formula_sum 'K48 Br12 O20'
_cell_length_a 14.882
_cell_length_b 14.882
_cell_length_c 14.882
_cell_angle_alpha 109.47
_cell_angle_beta 109.47
_cell_angle_gamma 109.47
_symmetry_space_group_name_H-M 'P 1'
_symmetry_Int_Tables_number 1
loop_
_symmetry_equiv_pos_as_xyz
'x,y,z'
loop_
_atom_site_label
_atom_site_type_symbol
_atom_site_fract_x
_atom_site_fract_y
_atom_site_fract_z
Br1 Br 0.750 0.375 0.125
Br2 Br 0.875 0.750 0.125
Br3 Br 0.375 0.750 0.625
Br4 Br 0.250 0.125 0.375
Br5 Br 0.875 0.125 0.250
Br6 Br 0.375 0.625 0.250
Br7 Br 0.625 0.375 0.750
Br8 Br 0.125 0.875 0.750
Br9 Br 0.750 0.875 0.625
Br10 Br 0.625 0.250 0.375
Br11 Br 0.125 0.250 0.875
Br12 Br 0.250 0.625 0.875
O1 O 0.125 0.375 0.250
O2 O 0.000 0.500 0.000
O3 O 0.000 0.000 0.000
O4 O 0.375 0.250 0.125
O5 O 0.500 0.000 0.500
O6 O 0.500 0.500 0.000
O7 O 0.125 0.750 0.375
O8 O 0.750 0.125 0.875
O9 O 0.750 0.625 0.375
O10 O 0.375 0.125 0.750
O11 O 0.625 0.875 0.250
O12 O 0.500 0.500 0.500
O13 O 0.500 0.000 0.000
O14 O 0.000 0.000 0.500
O15 O 0.250 0.375 0.625
O16 O 0.250 0.875 0.125
O17 O 0.000 0.500 0.500
O18 O 0.875 0.250 0.625
O19 O 0.625 0.750 0.875
O20 O 0.875 0.625 0.750
K1 K 0.693 0.112 0.013
K2 K 0.320 0.513 0.401
K3 K 0.987 0.388 0.307
K4 K 0.513 0.193 0.112
K5 K 0.582 0.693 0.680
K6 K 0.987 0.599 0.180
K7 K 0.320 0.807 0.418
K8 K 0.099 0.918 0.112
K9 K 0.599 0.987 0.680
K10 K 0.693 0.582 0.180
K11 K 0.807 0.487 0.388
K12 K 0.820 0.901 0.013
K13 K 0.112 0.693 0.513
K14 K 0.388 0.401 0.082
K15 K 0.082 0.901 0.388
K16 K 0.418 0.112 0.599
K17 K 0.082 0.180 0.193
K18 K 0.487 0.680 0.099
K19 K 0.820 0.918 0.307
K20 K 0.112 0.418 0.099
K21 K 0.388 0.987 0.807
K22 K 0.599 0.612 0.418
K23 K 0.901 0.820 0.513
K24 K 0.807 0.320 0.918
K25 K 0.401 0.388 0.582
K26 K 0.099 0.180 0.487
K27 K 0.193 0.680 0.082
K28 K 0.180 0.082 0.693
K29 K 0.612 0.013 0.193
K30 K 0.888 0.582 0.901
K31 K 0.513 0.320 0.901
K32 K 0.582 0.888 0.401
K33 K 0.918 0.820 0.807
K34 K 0.918 0.099 0.612
K35 K 0.888 0.307 0.487
K36 K 0.180 0.099 0.987
K37 K 0.612 0.599 0.918
K38 K 0.401 0.013 0.320
K39 K 0.307 0.418 0.820
K40 K 0.193 0.513 0.612
K41 K 0.901 0.082 0.888
K42 K 0.680 0.193 0.582
K43 K 0.487 0.807 0.888
K44 K 0.013 0.401 0.820
K45 K 0.418 0.307 0.320
K46 K 0.013 0.612 0.693
K47 K 0.680 0.487 0.599
K48 K 0.307 0.888 0.987
```

Calculated values
N(E_F) ... 69.124 states/eV/cell
Final energy ... -3.352 eV per atom
SG ... Ia-3d

VASP calculation (PBE-GGA) on K10Br4O3 after structural relaxation.

The structure in CIF format:
```
data_K10Br4O3
_chemical_formula_sum 'K10 Br4 O3'
_cell_length_a 5.257
_cell_length_b 5.257
_cell_length_c 19.286
_cell_angle_alpha 97.83
_cell_angle_beta 97.83
_cell_angle_gamma 90.00
_symmetry_space_group_name_H-M 'P 1'
_symmetry_Int_Tables_number 1
loop_
_symmetry_equiv_pos_as_xyz
'x,y,z'
loop_
_atom_site_label
_atom_site_type_symbol
_atom_site_fract_x
_atom_site_fract_y
_atom_site_fract_z
K1 K 0.139 0.639 0.279
K2 K 0.070 0.070 0.140
K3 K 0.639 0.139 0.279
K4 K 0.861 0.361 0.721
K5 K 0.361 0.861 0.721
K6 K 0.930 0.930 0.860
K7 K 0.208 0.208 0.416
K8 K 0.792 0.792 0.584
K9 K 0.000 0.500 0.000
K10 K 0.500 0.000 0.000
Br1 Br 0.569 0.569 0.138
Br2 Br 0.431 0.431 0.862
Br3 Br 0.297 0.297 0.595
Br4 Br 0.703 0.703 0.405
O1 O 0.141 0.141 0.281
O2 O 0.859 0.859 0.719
O3 O 0.000 0.000 0.000
```

Calculated values
Final energy ... -3.297 eV per atom
SG ... I4/mmm

VASP calculation (PBE-GGA) on K2BrO after structural relaxation.

The structure in CIF format:
```
data_K2BrO
_chemical_formula_sum 'K2 Br1 O1'
_cell_length_a 5.324
_cell_length_b 5.324
_cell_length_c 5.324
_cell_angle_alpha 60.00
_cell_angle_beta 60.00
_cell_angle_gamma 60.00
_symmetry_space_group_name_H-M 'P 1'
_symmetry_Int_Tables_number 1
loop_
_symmetry_equiv_pos_as_xyz
'x,y,z'
loop_
_atom_site_label
_atom_site_type_symbol
_atom_site_fract_x
_atom_site_fract_y
_atom_site_fract_z
K1 K 0.250 0.250 0.250
K2 K 0.750 0.750 0.750
O1 O 0.000 0.000 0.000
Br1 Br 0.500 0.500 0.500
```

Calculated values
N(E_F) ... 11.772 states/eV/cell
Final energy ... -3.198 eV per atom
Excess energy over the best structure of this formula in the dataset ... 138 meV per atom
SG ... Fm-3m

VASP calculation (PBE-GGA) on K2BrO6 after structural relaxation.

The structure in CIF format:
```
data_K2BrO6
_chemical_formula_sum 'K2 Br1 O6'
_cell_length_a 4.972
_cell_length_b 5.838
_cell_length_c 5.838
_cell_angle_alpha 60.05
_cell_angle_beta 89.89
_cell_angle_gamma 89.89
_symmetry_space_group_name_H-M 'P 1'
_symmetry_Int_Tables_number 1
loop_
_symmetry_equiv_pos_as_xyz
'x,y,z'
loop_
_atom_site_label
_atom_site_type_symbol
_atom_site_fract_x
_atom_site_fract_y
_atom_site_fract_z
K1 K 0.712 0.667 0.667
K2 K 0.288 0.333 0.333
Br1 Br 0.000 0.000 0.000
O1 O 0.201 0.287 0.856
O2 O 0.201 0.856 0.856
O3 O 0.201 0.856 0.287
O4 O 0.799 0.713 0.144
O5 O 0.799 0.144 0.144
O6 O 0.799 0.144 0.713
```

Calculated values
Final energy ... -3.893 eV per atom
SG ... C2/m

VASP calculation (PBE-GGA) on K4BrO2 after structural relaxation.

The structure in CIF format:
```
data_K4BrO2
_chemical_formula_sum 'K8 Br2 O4'
_cell_length_a 4.204
_cell_length_b 6.813
_cell_length_c 13.936
_cell_angle_alpha 90.00
_cell_angle_beta 90.00
_cell_angle_gamma 107.97
_symmetry_space_group_name_H-M 'P 1'
_symmetry_Int_Tables_number 1
loop_
_symmetry_equiv_pos_as_xyz
'x,y,z'
loop_
_atom_site_label
_atom_site_type_symbol
_atom_site_fract_x
_atom_site_fract_y
_atom_site_fract_z
K1 K 0.758 0.516 0.096
K2 K 0.758 0.516 0.404
K3 K 0.242 0.484 0.904
K4 K 0.242 0.484 0.596
K5 K 0.936 0.872 0.750
K6 K 0.064 0.128 0.250
K7 K 0.500 0.000 0.000
K8 K 0.500 0.000 0.500
Br1 Br 0.627 0.254 0.750
Br2 Br 0.373 0.746 0.250
O1 O 0.129 0.257 0.433
O2 O 0.871 0.743 0.933
O3 O 0.129 0.257 0.067
O4 O 0.871 0.743 0.567
```

Calculated values
N(E_F) ... 9.375 states/eV/cell
Final energy ... -3.447 eV per atom
SG ... Cmcm

VASP calculation (PBE-GGA) on KBrO4 after structural relaxation.

The structure in CIF format:
```
data_KBrO4
_chemical_formula_sum 'K2 Br2 O8'
_cell_length_a 5.284
_cell_length_b 5.284
_cell_length_c 9.950
_cell_angle_alpha 80.82
_cell_angle_beta 80.82
_cell_angle_gamma 59.72
_symmetry_space_group_name_H-M 'P 1'
_symmetry_Int_Tables_number 1
loop_
_symmetry_equiv_pos_as_xyz
'x,y,z'
loop_
_atom_site_label
_atom_site_type_symbol
_atom_site_fract_x
_atom_site_fract_y
_atom_site_fract_z
K1 K 0.500 0.000 0.500
K2 K 0.000 0.500 0.000
Br1 Br 0.179 0.821 0.250
Br2 Br 0.821 0.179 0.750
O1 O 0.150 0.144 0.754
O2 O 0.325 0.618 0.390
O3 O 0.675 0.382 0.610
O4 O 0.144 0.150 0.254
O5 O 0.856 0.850 0.746
O6 O 0.382 0.675 0.110
O7 O 0.618 0.325 0.890
O8 O 0.850 0.856 0.246
```

Calculated values
N(E_F) ... 0.000 states/eV/cell
Final energy ... -4.114 eV per atom
SG ... C2/c

VASP calculation (PBE-GGA) on KBr2O after structural relaxation.

The structure in CIF format:
```
data_KBr2O
_chemical_formula_sum 'K2 Br4 O2'
_cell_length_a 6.485
_cell_length_b 6.485
_cell_length_c 7.714
_cell_angle_alpha 65.14
_cell_angle_beta 65.14
_cell_angle_gamma 90.00
_symmetry_space_group_name_H-M 'P 1'
_symmetry_Int_Tables_number 1
loop_
_symmetry_equiv_pos_as_xyz
'x,y,z'
loop_
_atom_site_label
_atom_site_type_symbol
_atom_site_fract_x
_atom_site_fract_y
_atom_site_fract_z
K1 K 0.000 0.000 0.000
K2 K 0.750 0.250 0.500
O1 O 0.500 0.500 0.000
O2 O 0.250 0.750 0.500
Br1 Br 0.422 0.125 0.250
Br2 Br 0.328 0.625 0.250
Br3 Br 0.375 0.578 0.750
Br4 Br 0.875 0.672 0.750
```

Calculated values
N(E_F) ... 0.340 states/eV/cell
Final energy ... -2.747 eV per atom
Excess energy over the best structure of this formula in the dataset ... 0 meV per atom
SG ... I-42d

no.,raw formation energy (eV per atom)
1,-0.8380
2,-1.2035
3,-1.3833
4,-0.9911
5,-0.1576
6,-1.1643
7,-0.3466
8,-0.3967